This record from Alexandria via LeMat-Bulk describes crystalline Tb3Tm2Hg2 at its relaxed geometry. The functional is PBE-GGA.

The structure in extended XYZ format:
```
7
Lattice="-3.1977 -0.9224 1.2341 0.8711 -3.4013 -0.2851 4.1400 -0.2511 15.6442" Properties=species:S:1:pos:R:3 pbc="T T T"
Tb -1.7246 -0.8685 5.0915
Tb 0.0000 0.0000 0.0000
Tb 3.5380 -3.7063 11.5017
Hg -0.4318 -2.1351 2.3898
Hg 2.2452 -2.4397 14.2033
Tm 1.1855 -2.0759 6.6247
Tm 0.6279 -2.4989 9.9684
```

For the calculated total energy, the calculation gives -3.5217 eV/atom. As for the density of states at the Fermi level: 10.911 states/eV/cell. The symmetry is Cmmm (65). The spin magnetization is 0.0 μB per cell.